# MgBeSe2 PBE relaxed
data_MgBeSe2
_chemical_formula_sum 'Mg2 Be2 Se4'
_space_group_name_H-M_alt 'I m m 2'
_space_group_IT_number 44
_cell_length_a 3.390
_cell_length_b 3.574
_cell_length_c 12.317
_cell_angle_alpha 90.00
_cell_angle_beta 90.00
_cell_angle_gamma 90.00
loop_
_space_group_symop_operation_xyz
'x,y,z'
'-x,-y,z'
'-x,y,z'
'x,-y,z'
'x+1/2,y+1/2,z+1/2'
'-x+1/2,-y+1/2,z+1/2'
'-x+1/2,y+1/2,z+1/2'
'x+1/2,-y+1/2,z+1/2'
loop_
_atom_site_label
_atom_site_fract_x
_atom_site_fract_y
_atom_site_fract_z
_atom_site_occupancy
Mg1 0.000 0.000 0.000 1
Be1 0.000 0.500 0.245 1
Se1 0.000 0.000 0.606 1
Se2 0.000 0.500 0.834 1
# raw formation energy: -427.7 meV/atom
# energy relative to the lowest polymorph listed for this composition: 548 meV/atom
# DFT total energy: -3.500 eV/atom
# ρ: 4.256 g/cm3
# total moment: 0.00 μB per formula unit